Record 1
This record from the Alexandria database describes KSrIr2 after structural relaxation. The functional is PBE.

Unit cell a=4.195 b=4.195 c=4.835 alpha=90.00 beta=90.00 gamma=90.00
Element x y z (fractional)
K  0.000  0.000  0.000
Sr  0.500  0.500  0.000
Ir  0.000  0.500  0.500
Ir  0.500  0.000  0.500

Properties
VASP energy: -4.41 eV/atom
Energy relative to the elements: 0.716 eV per atom
D(E_F): 1.493 states/eV per atom
E above lowest polymorph: 0.549 eV per atom
Density: 10.0 g/cm3

Record 2
This record from the Alexandria database describes KSrIr2 after structural relaxation. The functional is PBE.

Unit cell a=3.073 b=3.073 c=30.857 alpha=90.00 beta=90.00 gamma=120.00
Element x y z (fractional)
K  0.000  0.000  0.000
K  0.333  0.667  0.667
K  0.667  0.333  0.333
Sr  0.000  0.000  0.500
Sr  0.333  0.667  0.167
Sr  0.667  0.333  0.833
Ir  0.000  0.000  0.245
Ir  0.000  0.000  0.755
Ir  0.333  0.667  0.421
Ir  0.333  0.667  0.912
Ir  0.667  0.333  0.088
Ir  0.667  0.333  0.579

Properties
VASP energy: -4.36 eV/atom
Energy relative to the elements: 0.767 eV per atom
D(E_F): 0.957 states/eV per atom
E above lowest polymorph: 0.600 eV per atom
Density: 10.1 g/cm3

Record 3
This record from the Alexandria database describes K3SrIr after structural relaxation. The functional is PBE.

Unit cell a=6.274 b=6.274 c=6.274 alpha=90.00 beta=90.00 gamma=90.00
Element x y z (fractional)
K  0.000  0.000  0.500
K  0.000  0.500  0.000
K  0.500  0.000  0.000
Sr  0.500  0.500  0.500
Ir  0.000  0.000  0.000

Properties
VASP energy: -2.05 eV/atom
Energy relative to the elements: 0.718 eV per atom
D(E_F): 0.276 states/eV per atom
Density: 2.7 g/cm3

Record 4
This record from the Alexandria database describes KSrIr2 after structural relaxation. The functional is PBE.

Unit cell a=2.916 b=4.892 c=7.276 alpha=90.00 beta=90.36 gamma=90.00
Element x y z (fractional)
K  0.000  0.000  0.000
Sr  0.000  0.000  0.500
Ir  0.497  0.500  0.330
Ir  0.503  0.500  0.670

Properties
VASP energy: -4.57 eV/atom
Energy relative to the elements: 0.558 eV per atom
D(E_F): 0.724 states/eV per atom
E above lowest polymorph: 0.391 eV per atom
Density: 8.2 g/cm3

Record 5
This record from the Alexandria database describes KSrIr2 after structural relaxation. The functional is PBE.

Unit cell a=5.003 b=5.003 c=7.059 alpha=90.00 beta=90.00 gamma=90.00
Element x y z (fractional)
K  0.000  0.000  0.000
K  0.500  0.500  0.500
Sr  0.000  0.500  0.250
Sr  0.500  0.000  0.750
Ir  0.000  0.000  0.500
Ir  0.000  0.500  0.750
Ir  0.500  0.000  0.250
Ir  0.500  0.500  0.000

Properties
VASP energy: -4.36 eV/atom
Energy relative to the elements: 0.766 eV per atom
D(E_F): 1.319 states/eV per atom
E above lowest polymorph: 0.599 eV per atom
Density: 9.6 g/cm3

Record 6
This record from the Alexandria database describes KSr2Ir2 after structural relaxation. The functional is PBE.

Unit cell a=9.125 b=9.125 c=3.196 alpha=90.00 beta=90.00 gamma=90.00
Element x y z (fractional)
K  0.000  0.000  0.000
K  0.500  0.500  0.000
Sr  0.136  0.364  0.500
Sr  0.364  0.864  0.500
Sr  0.636  0.136  0.500
Sr  0.864  0.636  0.500
Ir  0.159  0.659  0.000
Ir  0.341  0.159  0.000
Ir  0.659  0.841  0.000
Ir  0.841  0.341  0.000

Properties
VASP energy: -4.16 eV/atom
Energy relative to the elements: 0.274 eV per atom
D(E_F): 0.698 states/eV per atom
E above lowest polymorph: 0.000 eV per atom
Density: 7.5 g/cm3

Record 7
This record from the Alexandria database describes KSrIr2 after structural relaxation. The functional is PBE.

Unit cell a=11.953 b=2.938 c=5.751 alpha=90.00 beta=110.45 gamma=90.00
Element x y z (fractional)
K  0.000  0.000  0.000
K  0.500  0.500  0.000
Sr  0.304  0.500  0.398
Sr  0.804  0.000  0.398
Ir  0.068  0.500  0.544
Ir  0.230  0.000  0.843
Ir  0.568  0.000  0.544
Ir  0.730  0.500  0.843

Properties
VASP energy: -4.69 eV/atom
Energy relative to the elements: 0.433 eV per atom
D(E_F): 0.605 states/eV per atom
E above lowest polymorph: 0.266 eV per atom
Density: 9.0 g/cm3

Record 8
This record from the Alexandria database describes KSrIr2 after structural relaxation. The functional is PBE.

Unit cell a=4.455 b=4.944 c=10.755 alpha=90.00 beta=90.00 gamma=90.00
Element x y z (fractional)
K  0.000  0.000  0.000
K  0.000  0.500  0.500
Sr  0.500  0.000  0.288
Sr  0.500  0.500  0.788
Ir  0.000  0.000  0.696
Ir  0.000  0.500  0.196
Ir  0.500  0.000  0.617
Ir  0.500  0.500  0.117

Properties
VASP energy: -4.96 eV/atom
Energy relative to the elements: 0.167 eV per atom
D(E_F): 0.607 states/eV per atom
E above lowest polymorph: 0.000 eV per atom
Density: 7.2 g/cm3

Record 9
This record from the Alexandria database describes K2SrIr after structural relaxation. The functional is PBE.

Unit cell a=4.662 b=4.662 c=5.897 alpha=90.00 beta=90.00 gamma=90.00
Element x y z (fractional)
K  0.000  0.500  0.000
K  0.500  0.000  0.000
Sr  0.000  0.000  0.500
Ir  0.500  0.500  0.500

Properties
VASP energy: -2.63 eV/atom
Energy relative to the elements: 0.551 eV per atom
D(E_F): 0.615 states/eV per atom
E above lowest polymorph: 0.257 eV per atom
Density: 4.6 g/cm3

Record 10
This record from the Alexandria database describes KSrIr2 after structural relaxation. The functional is PBE.

Unit cell a=7.215 b=7.215 c=7.215 alpha=90.00 beta=90.00 gamma=90.00
Element x y z (fractional)
K  0.000  0.000  0.000
K  0.000  0.500  0.500
K  0.500  0.000  0.500
K  0.500  0.500  0.000
Sr  0.000  0.000  0.500
Sr  0.000  0.500  0.000
Sr  0.500  0.000  0.000
Sr  0.500  0.500  0.500
Ir  0.250  0.250  0.250
Ir  0.250  0.250  0.750
Ir  0.250  0.750  0.250
Ir  0.250  0.750  0.750
Ir  0.750  0.250  0.250
Ir  0.750  0.250  0.750
Ir  0.750  0.750  0.250
Ir  0.750  0.750  0.750

Properties
VASP energy: -4.13 eV/atom
Energy relative to the elements: 0.990 eV per atom
D(E_F): 1.329 states/eV per atom
E above lowest polymorph: 0.824 eV per atom
Density: 9.0 g/cm3

Record 11
This record from the Alexandria database describes KSrIr2 after structural relaxation. The functional is PBE.

Unit cell a=4.416 b=5.372 c=9.165 alpha=90.00 beta=90.00 gamma=90.00
Element x y z (fractional)
K  0.000  0.000  0.000
K  0.500  0.500  0.500
Sr  0.000  0.500  0.801
Sr  0.500  0.000  0.301
Ir  0.000  0.000  0.608
Ir  0.000  0.500  0.203
Ir  0.500  0.000  0.703
Ir  0.500  0.500  0.108

Properties
VASP energy: -4.90 eV/atom
Energy relative to the elements: 0.230 eV per atom
D(E_F): 0.650 states/eV per atom
E above lowest polymorph: 0.063 eV per atom
Density: 7.8 g/cm3

Record 12
This record from the Alexandria database describes KSr4Ir after structural relaxation. The functional is PBE.

Unit cell a=7.186 b=7.186 c=7.186 alpha=60.00 beta=60.00 gamma=60.00
Element x y z (fractional)
K  0.000  0.000  0.000
Sr  0.130  0.623  0.623
Sr  0.623  0.130  0.623
Sr  0.623  0.623  0.130
Sr  0.623  0.623  0.623
Ir  0.250  0.250  0.250

Properties
VASP energy: -1.89 eV/atom
Energy relative to the elements: 0.889 eV per atom
D(E_F): 1.282 states/eV per atom
Density: 3.7 g/cm3

> density of number 11 (KSrIr2)?

7.8 g/cm3

> Which of these has the highest D(E_F)?

number 1

> Which of these has the lowest D(E_F)?

K3SrIr

> What is the formula in the first record?

KSrIr2